Compound: SmYZn2
Source: the Alexandria database
Functional: SCAN
Structure: PBEsol geometry

Cell lengths 5.0093, 5.0093, 5.0093 Å; angles 60.00, 60.00, 60.00 degrees
Fractional coordinates of all 4 atoms:
Y 0.5000 0.5000 0.5000
Zn 0.7500 0.7500 0.7500
Zn 0.2500 0.2500 0.2500
Sm 0.0000 0.0000 0.0000

Computed properties:
energy of formation from the pure elements = -417 meV/atom
magnetization = 0.00 μB per formula unit